Entry 1:
# Er2TmInN4

A relaxed Er2TmInN4 crystal (PBE, the Alexandria database).

Unit cell a=3.411 b=5.898 c=5.891 alpha=110.26 beta=90.00 gamma=90.00
Element x y z (fractional)
Er1 0.000 0.500 0.500
N1 0.500 0.748 0.749
N2 0.000 0.257 0.745
Tm1 0.500 0.500 0.000
Er2 0.500 0.000 0.500
N3 0.000 0.743 0.255
N4 0.500 0.252 0.251
In1 0.000 0.000 0.000

Computed properties:
Space-group type: No. 10
ΔE_f (raw), eV per formula unit: -10.165

---

Entry 2:
# Hf2ScN2

A relaxed Hf2ScN2 crystal (PBE, the Alexandria database).

Unit cell a=6.333 b=6.333 c=3.192 alpha=90.00 beta=90.00 gamma=90.00
Element x y z (fractional)
N1 0.154 0.346 0.000
N2 0.346 0.846 0.000
Sc1 0.000 0.000 0.000
Hf1 0.839 0.339 0.500
Hf2 0.339 0.161 0.500
N3 0.846 0.654 0.000
Sc2 0.500 0.500 0.000
Hf3 0.661 0.839 0.500
Hf4 0.161 0.661 0.500
N4 0.654 0.154 0.000

Computed properties:
Relative energy among the computed polymorphs, eV/atom: 0.7209
Density of states at the Fermi level, states/eV/f.u.: 3.4
Space-group type: No. 127
ΔE_f (raw), eV per formula unit: -3.740

---

Entry 3:
# UTa2Nb

A relaxed UTa2Nb crystal (PBE, the Alexandria database).

Unit cell a=2.988 b=5.107 c=5.107 alpha=90.00 beta=90.00 gamma=90.00
Element x y z (fractional)
U1 0.500 0.500 0.500
Ta1 0.000 0.000 0.500
Ta2 0.000 0.500 0.000
Nb1 0.500 0.000 0.000

Computed properties:
Relative energy among the computed polymorphs, eV/atom: 0.0899
Density of states at the Fermi level, states/eV/f.u.: 6.2
Space-group type: No. 123
ΔH_f (0 K), eV/atom: 0.285

---

Entry 4:
# LiMgCl2

A relaxed LiMgCl2 crystal (PBE, the Alexandria database).

Unit cell a=3.439 b=3.439 c=7.641 alpha=90.00 beta=90.00 gamma=89.88
Element x y z (fractional)
Li1 0.000 0.000 0.326
Cl1 0.000 0.000 0.988
Mg1 0.500 0.500 0.798
Cl2 0.500 0.500 0.387

Computed properties:
Relative energy among the computed polymorphs, eV/atom: 0.0840
Density of states at the Fermi level, states/eV/f.u.: 1.4
Space-group type: No. 35
ΔE_f (raw), eV per formula unit: -4.841

---

Calculated density, respectively: 10.1; 11.2; 14.8; 1.9 g/cm³.